(1)
Os5W | GGA-PBEsol | optimized geometry Values from VASP.

Values from the calculation:
- Spin magnetization: 0.00 μB/cell
- Offset from the most stable computed form: 9 meV/atom
- ΔH_f (0 K): -22 meV/atom
- Space group: Cm (8)

```
&SYSTEM
  ibrav = 0, nat = 12, ntyp = 2
/
ATOMIC_SPECIES
Os 190.23 Os.upf
W 183.84 W.upf
CELL_PARAMETERS angstrom
9.9195 0.0000 0.0000
0.0000 2.7468 0.0000
-1.5318 0.0000 6.2778
ATOMIC_POSITIONS crystal
Os 0.0000 0.0000 0.0000
Os 0.0561 0.0000 0.6093
Os 0.1690 0.5000 0.3349
Os 0.3367 0.0000 0.6651
Os 0.3924 0.0000 0.2791
Os 0.5000 0.5000 0.0000
Os 0.5561 0.5000 0.6093
Os 0.6690 0.0000 0.3349
Os 0.8367 0.5000 0.6651
Os 0.8924 0.5000 0.2791
W 0.2242 0.5000 0.9465
W 0.7242 0.0000 0.9465
```

(2)
LiTcSb2 | GGA-PBEsol | optimized geometry Values from VASP.

Values from the calculation:
- Spin magnetization: 0.00 μB/cell
- Offset from the most stable computed form: 155 meV/atom
- Space group: C2/m (12)
- Energy relative to the elements, uncorrected: -0.038 eV per atom

```
&SYSTEM
  ibrav = 0, nat = 8, ntyp = 3
/
ATOMIC_SPECIES
Li 6.94 Li.upf
Tc 98.00 Tc.upf
Sb 121.76 Sb.upf
CELL_PARAMETERS angstrom
8.3678 0.0000 0.0000
0.0000 3.3098 0.0000
-1.0605 0.0000 5.5496
ATOMIC_POSITIONS crystal
Li 0.0000 0.0000 0.0000
Li 0.5000 0.5000 0.0000
Tc 0.0000 0.5000 0.5000
Tc 0.5000 0.0000 0.5000
Sb 0.2368 0.0000 0.7261
Sb 0.2632 0.5000 0.2739
Sb 0.7368 0.5000 0.7261
Sb 0.7632 0.0000 0.2739
```